! PBE LaFeRh, optimized geometry; values from VASP
! SG: P4/mmm
! DFT total energy in eV/atom: -6.969
! Calculated formation energy in eV per atom: -0.055
! Calculated density in Mg/m³: 8.28
! Magnetic moment in μB/atom: 0.971
&SYSTEM
  ibrav = 0, nat = 6, ntyp = 3
/
ATOMIC_SPECIES
Fe 55.84 Fe.upf
Rh 102.91 Rh.upf
La 138.91 La.upf
CELL_PARAMETERS angstrom
-0.974 4.835 0.453
-0.275 -2.789 2.100
9.066 1.525 3.211
ATOMIC_POSITIONS crystal
Fe 0.694 0.389 0.611
Fe 0.694 0.389 0.389
Rh 0.194 0.389 0.500
Rh 0.695 0.389 0.000
La 0.195 0.389 0.182
La 0.195 0.389 0.818


! PBE LaFe2Rh, optimized geometry; values from VASP
! SG: Cm
! DFT total energy in eV/atom: -7.374
! Calculated formation energy in eV per atom: -0.073
! Calculated density in Mg/m³: 7.53
! Magnetic moment in μB/atom: 1.029
&SYSTEM
  ibrav = 0, nat = 4, ntyp = 3
/
ATOMIC_SPECIES
La 138.91 La.upf
Rh 102.91 Rh.upf
Fe 55.84 Fe.upf
CELL_PARAMETERS angstrom
4.202 -0.014 0.010
2.109 3.635 0.010
2.101 1.205 5.102
ATOMIC_POSITIONS crystal
La 0.500 0.500 0.500
Rh 0.308 0.308 0.076
Fe 0.997 0.997 0.010
Fe 0.695 0.695 0.914